Entry from the Alexandria database: a relaxed structure of BeOs (PBE-GGA).

Lattice parameters (Å, degrees): 8.898 4.262 5.024 90.00 90.00 90.00
Fractional coordinates of all 16 atoms:
Be: 0.073 0.250 0.008
Be: 0.169 0.750 0.252
Be: 0.331 0.250 0.752
Be: 0.427 0.750 0.508
Be: 0.573 0.250 0.492
Be: 0.669 0.750 0.248
Be: 0.831 0.250 0.748
Be: 0.927 0.750 0.992
Os: 0.089 0.250 0.513
Os: 0.168 0.750 0.772
Os: 0.332 0.250 0.272
Os: 0.411 0.750 0.013
Os: 0.589 0.250 0.987
Os: 0.668 0.750 0.728
Os: 0.832 0.250 0.228
Os: 0.911 0.750 0.487

Results
Space-group type ... No. 62
Crystal system ... orthorhombic
VASP energy ... -7.45 eV/atom
Formation energy from the elements ... 32 meV per atom



Entry from the Alexandria database: a relaxed structure of Hg2RhW (PBE-GGA).

Lattice parameters (Å, degrees): 4.892 4.892 2.983 90.00 90.00 90.00
Fractional coordinates of all 4 atoms:
Hg: 0.000 0.500 0.000
Hg: 0.500 0.000 0.000
Rh: 0.000 0.000 0.500
W: 0.500 0.500 0.500

Results
Space-group type ... No. 123
Offset from the most stable computed form ... 48.71 kJ/mol of atoms
Crystal system ... tetragonal
VASP energy ... -4.49 eV/atom
Formation energy from the elements ... 736 meV per atom



Entry from the Alexandria database: a relaxed structure of Si2OsI (PBE-GGA).

Lattice parameters (Å, degrees): 4.617 4.617 4.617 60.00 60.00 60.00
Fractional coordinates of all 4 atoms:
Si: 0.250 0.250 0.250
Si: 0.750 0.750 0.750
Os: 0.000 0.000 0.000
I: 0.500 0.500 0.500

Results
Space-group type ... No. 225
Offset from the most stable computed form ... 77.58 kJ/mol of atoms
Crystal system ... cubic
VASP energy ... -4.62 eV/atom
E_form (uncorrected) ... 1284 meV per atom



Entry from the Alexandria database: a relaxed structure of BaLi2Mo (PBE-GGA).

Lattice parameters (Å, degrees): 3.013 4.612 6.549 90.00 90.00 90.00
Fractional coordinates of all 4 atoms:
Ba: 0.000 0.000 0.000
Li: 0.500 0.500 0.319
Li: 0.500 0.500 0.681
Mo: 0.000 0.000 0.500

Results
Space-group type ... No. 47
Offset from the most stable computed form ... 8.04 kJ/mol of atoms
Crystal system ... orthorhombic
VASP energy ... -3.33 eV/atom
Formation energy from the elements ... 814 meV per atom



Entry from the Alexandria database: a relaxed structure of CeNdMg2 (PBE-GGA).

Lattice parameters (Å, degrees): 11.883 11.883 11.883 16.00 16.00 16.00
Fractional coordinates of all 4 atoms:
Ce: 0.000 0.000 0.000
Nd: 0.500 0.500 0.500
Mg: 0.251 0.251 0.251
Mg: 0.749 0.749 0.749

Results
Space-group type ... No. 166
Offset from the most stable computed form ... 7.90 kJ/mol of atoms
Crystal system ... trigonal
VASP energy ... -3.40 eV/atom
Formation energy from the elements ... 74 meV per atom



Entry from the Alexandria database: a relaxed structure of CsCaGa2H8 (PBE-GGA).

Lattice parameters (Å, degrees): 8.896 8.896 8.896 32.66 32.66 32.66
Fractional coordinates of all 12 atoms:
Cs: 0.000 0.000 0.000
Ca: 0.500 0.500 0.500
Ga: 0.237 0.237 0.237
Ga: 0.763 0.763 0.763
H: 0.063 0.452 0.833
H: 0.167 0.937 0.548
H: 0.300 0.300 0.300
H: 0.452 0.833 0.063
H: 0.548 0.167 0.937
H: 0.700 0.700 0.700
H: 0.833 0.063 0.452
H: 0.937 0.548 0.167

Results
Space-group type ... No. 148
Crystal system ... trigonal
VASP energy ... -3.10 eV/atom